Compound: La2Th4Ge3H2
Source: Alexandria
Functional: PBE-GGA
Structure: relaxed

abc: 4.7549 4.7549 12.6673
angles: 100.82 100.82 90.00
Positions (direct):
La  0.2974  0.2974  0.5948
La  0.7026  0.7026  0.4052
Th  0.4203  0.9203  0.8406
Th  0.9203  0.4203  0.8406
Th  0.0797  0.5797  0.1594
Th  0.5797  0.0797  0.1594
Ge  0.0000  0.0000  0.0000
Ge  0.1684  0.1684  0.3367
Ge  0.8316  0.8316  0.6633
H  0.3992  0.3992  0.7985
H  0.6008  0.6008  0.2015

Values from the calculation:
Total DFT energy (no corrections)   -65.38 eV per cell
SG   I4/mmm, No. 139
N(E_F)   10.60 states/eV per cell